VASP calculation (PBE) on crystalline Ag2WBr at its relaxed geometry.

Calculated values
For the formation energy from raw total energies, the calculation gives 18.541 kcal/mol of atoms. The calculation puts the density of states at the Fermi level at 4.90 states/eV per cell. For the energy above the most stable polymorph in this dataset, the calculation gives 352 meV/atom. As for the mass density: 10.690 g/cm3. For the spin magnetization, the calculation gives 0.0 μB/f.u.

abc: 9.087 2.956 5.617
angles: 90.00 99.10 90.00
Space group Cm (No. 8)
Unique sites:
1 Ag 0.000 0.000 0.000
2 Ag 0.250 0.000 0.786
3 W 0.009 0.500 0.495
4 Br 0.270 0.500 0.328

VASP calculation (PBE) on crystalline Pa2FeOs at its relaxed geometry.

Calculated values
The calculation puts the density of states at the Fermi level at 5.59 states/eV per cell. For the energy above the most stable polymorph in this dataset, the calculation gives 24 meV/atom. The formation energy is -0.276 eV per formula unit. As for the mass density: 15.368 g/cm3. For the spin magnetization, the calculation gives 0.0 μB/f.u.

abc: 3.313 3.313 6.973
angles: 90.00 90.00 90.00
Space group P4/mmm (No. 123)
Unique sites:
1 Pa 0.000 0.000 0.234
2 Fe 0.500 0.500 0.000
3 Os 0.500 0.500 0.500

VASP calculation (PBE) on crystalline Tb2V2C3 at its relaxed geometry.

Calculated values
The calculation puts the density of states at the Fermi level at 11.58 states/eV per cell. The formation energy is -2.705 eV per formula unit. As for the mass density: 7.537 g/cm3. For the spin magnetization, the calculation gives 0.0 μB/f.u.

abc: 11.608 3.335 5.646
angles: 90.00 113.24 90.00
Space group C2/m (No. 12)
Unique sites:
1 Tb 0.106 0.000 0.323
2 V 0.159 0.500 0.825
3 C 0.000 0.500 0.500
4 C 0.250 0.000 0.781

VASP calculation (PBE) on crystalline ScCuMo2 at its relaxed geometry.

Calculated values
The calculation puts the density of states at the Fermi level at 4.32 states/eV per cell. For the energy above the most stable polymorph in this dataset, the calculation gives 0 meV/atom. The formation energy is 0.159 eV per formula unit. As for the mass density: 7.641 g/cm3. For the spin magnetization, the calculation gives 0.0 μB/f.u.

abc: 3.243 3.243 6.206
angles: 90.00 90.00 90.00
Space group P4mm (No. 99)
Unique sites:
1 Sc 0.000 0.000 0.000
2 Cu 0.500 0.500 0.255
3 Mo 0.000 0.000 0.500
4 Mo 0.500 0.500 0.716

VASP calculation (PBE) on crystalline Na3PrI6 at its relaxed geometry.

Calculated values
For the formation energy from raw total energies, the calculation gives -29.844 kcal/mol of atoms. The calculation puts the density of states at the Fermi level at 0.00 states/eV per cell. For the energy above the most stable polymorph in this dataset, the calculation gives 5 meV/atom. As for the mass density: 3.999 g/cm3. For the spin magnetization, the calculation gives 0.0 μB/f.u.

abc: 7.939 8.482 14.313
angles: 90.00 123.18 90.00
Space group P2_1/c (No. 14)
Unique sites:
1 Na 0.000 0.000 0.000
2 Na 0.202 0.090 0.733
3 Pr 0.500 0.000 0.500
4 I 0.105 0.181 0.432
5 I 0.245 0.686 0.415
6 I 0.407 0.068 0.258

VASP calculation (PBE) on crystalline Na3PbSe4O12 at its relaxed geometry.

Calculated values
For the formation energy from raw total energies, the calculation gives -16.930 kcal/mol of atoms. The calculation puts the density of states at the Fermi level at 24.12 states/eV per cell. As for the mass density: 4.098 g/cm3. For the spin magnetization, the calculation gives 0.7 μB/f.u.

abc: 11.5049 11.5049 8.3141
angles: 90.00 90.00 120.00
Space group R32 (No. 155, hexagonal axes)
Unique sites:
1 Na 0.0000 0.5603 0.0000
2 Pb 0.0000 0.0000 0.0000
3 Se 0.0000 0.0000 0.5000
4 Se 0.0000 0.4287 0.5000
5 O 0.0000 0.5743 0.5000
6 O 0.0000 0.8573 0.5000
7 O 0.0191 0.1708 0.1863